Record 1
## K12Au3O4 (PBE-GGA)

Data for crystalline K12Au3O4 at its relaxed geometry.

## Properties
Raw formation energy in eV per atom: -0.7543
Final energy in eV/atom: -3.0087

Lattice parameters (Å, degrees): 9.2421 9.2421 9.2421 109.47 109.47 109.47
With the nearest neighbours (Å) after each atom.
Sites, in units of the cell vectors:
K (0.0061, 0.7495, 0.2566)  2 O 2.67
K (0.2505, 0.2566, 0.5070)  2 O 2.67
K (0.2505, 0.7434, 0.9939)  2 O 2.67
K (0.2566, 0.0061, 0.7495)  2 O 2.67
K (0.2566, 0.5070, 0.2505)  2 O 2.67
K (0.4930, 0.7495, 0.7434)  2 O 2.67
K (0.5070, 0.2505, 0.2566)  2 O 2.67
K (0.7434, 0.4930, 0.7495)  2 O 2.67
K (0.7434, 0.9939, 0.2505)  2 O 2.67
K (0.7495, 0.2566, 0.0061)  2 O 2.67
K (0.7495, 0.7434, 0.4930)  2 O 2.67
K (0.9939, 0.2505, 0.7434)  2 O 2.67
Au (0.0000, 0.5000, 0.5000)  12 K 3.72-3.82
Au (0.5000, 0.0000, 0.5000)  12 K 3.72-3.82
Au (0.5000, 0.5000, 0.0000)  12 K 3.72-3.82
O (0.0000, 0.0000, 0.5000)  6 K 2.67
O (0.0000, 0.5000, 0.0000)  6 K 2.67
O (0.5000, 0.0000, 0.0000)  6 K 2.67
O (0.5000, 0.5000, 0.5000)  6 K 2.67

***

Record 2
## B2PC (PBE-GGA)

Data for crystalline B2PC at its relaxed geometry.

## Properties
ΔE_f in eV per atom: 0.25
Distance to the lowest polymorph of the same formula in meV per atom: 177
Final energy in eV/atom: -6.7446

Lattice parameters (Å, degrees): 2.8734 3.8009 4.0008 80.56 69.02 67.94
With the nearest neighbours (Å) after each atom.
Sites, in units of the cell vectors:
B (0.0000, 0.0000, 0.0000)  2 C 1.64-1.65
B (0.0676, 0.5660, 0.2986)  1 C 1.61
P (0.3782, 0.6062, 0.6392)  1 C 1.92, 3 B 1.93-1.97
C (0.3776, 0.2262, 0.0194)  3 B 1.61-1.65

***

Among the records above, which one has the highest final energy? K12Au3O4

***

final energy of number 1 (K12Au3O4)? -3.0087 eV/atom